Record 1
A plane-wave DFT calculation with PBE was carried out for a relaxed Tm2ThTlC crystal.

The structure belongs to space group P4/mmm (No. 123); the cell edges are 4.8846, 4.8846 and 5.0534 Å and the angles 90.00°, 90.00° and 90.00°. Symmetry generates all atoms from Tm at (0.0000, 0.5000, 0.0000), Th at (0.0000, 0.0000, 0.5000), Tl at (0.5000, 0.5000, 0.5000) and C at (0.0000, 0.0000, 0.0000).

Its density of states at the Fermi level is 2.3 states/eV per cell. As for the energy relative to the elements: -0.384 eV/atom. As for the total energy: -5.975 eV/atom.


Record 2
A plane-wave DFT calculation with PBE was carried out for a relaxed TmTh3C4 crystal.

The structure belongs to space group Pm-3m (No. 221); the cell edges are 5.2536, 5.2536 and 5.2536 Å and the angles 90.00°, 90.00° and 90.00°. Symmetry generates all atoms from Tm at (0.0000, 0.0000, 0.0000), Th at (0.0000, 0.5000, 0.5000), C at (0.0000, 0.0000, 0.5000) and C at (0.5000, 0.5000, 0.5000).

Its density of states at the Fermi level is 3.5 states/eV per cell. As for the energy relative to the elements: -0.248 eV/atom. As for the total energy: -8.201 eV/atom.


Record 3
A plane-wave DFT calculation with PBE was carried out for a relaxed Tm2Th5C5 crystal.

The structure belongs to space group C2/m (No. 12); the cell edges are 12.1643, 3.6804 and 10.9742 Å and the angles 90.00°, 106.76° and 90.00°. Symmetry generates all atoms from Tm at (0.0276, 0.0000, 0.2848), Th at (0.0000, 0.5000, 0.0000), Th at (0.1572, 0.5000, 0.5511), Th at (0.2428, 0.5000, 0.8554), C at (0.0000, 0.0000, 0.5000), C at (0.1264, 0.0000, 0.9273) and C at (0.1668, 0.5000, 0.3098).

Its density of states at the Fermi level is 15.1 states/eV per cell. As for the energy relative to the elements: -0.164 eV/atom. As for the total energy: -7.844 eV/atom.


> What is the formula in the second record?

TmTh3C4


> Which value of energy relative to the elements does entry 2 give?

-0.248 eV/atom


> The highest energy relative to the elements belongs to which entry?

Tm2Th5C5


> Which value of energy relative to the elements does entry 3 give?

-0.164 eV/atom